No. 1
The following is a DFT calculation (PBE) of a relaxed structure of Sm3Y2Tm8.

## Properties
Spin magnetization: 0.00 μB per formula unit
N(E_F): 1.479 states/eV per atom
Distance to the lowest polymorph of the same formula: 0.000 eV/f.u.

Structure (extended XYZ):
```
13
Lattice="5.928 0.777 1.328 -0.335 5.248 3.137 -1.234 -2.161 11.441" Properties=species:S:1:pos:R:3 pbc="T T T"
Tm 1.027 3.490 12.193
Tm 0.887 1.733 9.131
Tm 0.273 3.483 6.150
Tm 3.471 2.131 6.775
Tm 4.231 2.136 12.825
Tm 4.085 0.380 9.756
Tm 3.331 0.373 3.713
Tm 0.126 1.728 3.081
Y 3.615 3.869 9.829
Y 0.743 -0.005 6.077
Sm 0.000 0.000 0.000
Sm 2.860 3.876 3.777
Sm 1.498 -0.012 12.129
```

=====

No. 2
The following is a DFT calculation (PBE) of a relaxed structure of Sm19Y6Tm4.

## Properties
Spin magnetization: 0.00 μB per formula unit
N(E_F): 1.527 states/eV per atom

Structure (extended XYZ):
```
29
Lattice="-3.064 9.252 -4.861 -8.683 -6.430 1.369 4.396 2.279 9.701" Properties=species:S:1:pos:R:3 pbc="T T T"
Sm -3.485 0.165 8.990
Sm 0.000 0.000 0.000
Sm -5.553 -4.184 4.328
Sm -4.486 -1.008 1.567
Sm -3.182 -3.081 8.217
Sm -3.028 0.727 -0.900
Sm -1.105 -1.070 2.854
Sm -5.355 5.294 -3.223
Sm -4.426 1.400 5.050
Sm -2.383 4.226 -0.243
Sm 0.343 2.973 1.248
Sm -5.748 3.115 2.076
Sm 0.988 8.559 3.592
Sm -3.034 4.649 4.029
Sm -8.719 2.094 -2.592
Sm -2.342 8.760 3.282
Sm -9.472 1.690 0.648
Sm 2.288 4.871 6.174
Sm -0.117 1.629 4.575
Y -3.640 -1.716 5.090
Y -7.472 -0.136 2.379
Y 0.119 5.237 3.830
Y -1.648 2.221 7.338
Y -5.704 2.880 -1.130
Y -3.712 6.817 1.119
Tm 2.814 1.459 6.210
Tm -1.962 5.923 -3.112
Tm -5.559 -4.117 0.877
Tm -2.645 1.836 2.234
```

=====

No. 3
The following is a DFT calculation (PBE) of a relaxed structure of Sm3Y8Tm.

## Properties
Spin magnetization: 0.18 μB per formula unit
N(E_F): 1.669 states/eV per atom

Structure (extended XYZ):
```
12
Lattice="7.599 -0.457 -3.588 -4.434 7.048 -1.223 -0.288 0.457 8.399" Properties=species:S:1:pos:R:3 pbc="T T T"
Y 0.374 5.358 3.509
Y -1.351 2.148 6.131
Y -3.038 4.829 6.629
Y -3.475 5.523 1.203
Y 2.608 1.525 -0.079
Y 0.164 2.676 1.763
Y 5.116 0.554 -1.825
Y -4.086 6.495 4.198
Sm -2.361 3.753 3.588
Sm 2.475 1.876 4.199
Sm 0.402 5.172 -0.611
Tm 0.000 0.000 0.000
```

=====

No. 4
The following is a DFT calculation (PBE) of a relaxed structure of Sm14YTm.

## Properties
Spin magnetization: 0.00 μB per formula unit
N(E_F): 1.100 states/eV per atom

Structure (extended XYZ):
```
16
Lattice="7.208 -0.869 0.000 -2.845 6.680 0.000 0.000 0.000 11.694" Properties=species:S:1:pos:R:3 pbc="T T T"
Sm -2.423 6.363 0.000
Sm 2.346 0.503 2.952
Sm 1.175 5.928 0.000
Sm 2.603 2.589 0.000
Sm 2.852 4.681 5.847
Sm 4.534 3.418 8.742
Sm 5.951 0.076 8.773
Sm 0.923 3.850 8.750
Sm 0.923 3.850 2.944
Sm 0.664 1.766 5.847
Sm 4.534 3.418 2.952
Sm 2.346 0.503 8.742
Sm -1.002 3.029 0.000
Sm 5.951 0.076 2.921
Tm -0.750 5.107 5.847
Y 4.277 1.332 5.847
```

=====

No. 5
The following is a DFT calculation (PBE) of a relaxed structure of Sm2Y5Tm12.

## Properties
Spin magnetization: 0.00 μB per formula unit
N(E_F): 1.496 states/eV per atom
Distance to the lowest polymorph of the same formula: 1.901 eV/f.u.

Structure (extended XYZ):
```
19
Lattice="-7.222 5.532 0.515 -3.333 -11.813 -0.466 3.911 4.555 5.928" Properties=species:S:1:pos:R:3 pbc="T T T"
Tm -1.635 2.143 3.658
Tm -6.528 -1.411 4.225
Tm -5.321 -7.051 1.115
Tm -4.413 4.271 3.856
Tm -0.117 -0.315 1.753
Tm -3.223 -1.523 0.418
Tm -2.231 -5.997 2.122
Tm -3.421 -0.203 5.560
Tm -7.823 2.001 0.745
Tm -1.323 5.325 4.863
Tm 1.179 -3.727 5.232
Tm -5.009 -3.869 2.320
Sm -2.275 1.742 0.162
Sm -4.947 3.789 0.352
Y -1.809 -2.686 3.492
Y -4.835 0.960 2.485
Y -6.877 -1.548 0.786
Y 1.956 2.277 2.964
Y 0.233 -0.178 5.191
```

=====

No. 6
The following is a DFT calculation (PBE) of a relaxed structure of SmY5Tm2.

## Properties
Spin magnetization: 0.00 μB per formula unit
N(E_F): 1.343 states/eV per atom
Distance to the lowest polymorph of the same formula: 0.000 eV/f.u.

Structure (extended XYZ):
```
16
Lattice="5.018 0.000 0.000 0.000 7.118 0.000 0.000 0.000 14.241" Properties=species:S:1:pos:R:3 pbc="T T T"
Y 0.000 3.550 10.680
Y 0.000 3.568 3.561
Y 0.000 0.000 0.000
Y 0.000 7.109 10.681
Y 0.000 0.009 3.560
Y 2.509 5.343 1.785
Y 0.000 3.559 7.120
Y 2.509 1.784 5.336
Y 2.509 5.334 8.905
Y 2.509 1.775 12.456
Tm 2.509 5.345 5.339
Tm 2.509 1.786 1.781
Tm 2.509 5.332 12.460
Tm 2.509 1.773 8.901
Sm 0.000 0.000 7.120
Sm 0.000 3.559 0.000
```

=====

| no. | formation energy from the elements (eV/f.u.) | total DFT energy (no corrections) (eV per atom) |
| --- | --- | --- |
| 1 | 0.34 | -4.809 |
| 2 | 10.76 | -4.675 |
| 3 | 7.69 | -5.221 |
| 4 | -0.02 | -4.814 |
| 5 | 2.42 | -4.894 |
| 6 | 0.19 | -5.724 |